# 1
AlCu3Pt6, relaxed, DFT PBE; energy of formation from the pure elements = -0.35 eV per atom; N(E_F) = 14.7 states/eV per cell; SG = P2_1/m, No. 11; distance to the lowest polymorph of the same formula = 0 meV/atom; DFT total energy = -111.6 eV per cell
1.0
3.952 0.000 0.000
0.000 8.338 -0.409
0.000 -0.201 8.781
Al Cu Pt
2 6 12
Direct
0.250 0.937 0.611 Al
0.750 0.063 0.389 Al
0.250 0.554 0.398 Cu
0.750 0.446 0.602 Cu
0.250 0.345 0.803 Cu
0.750 0.655 0.197 Cu
0.250 0.748 0.002 Cu
0.750 0.252 0.998 Cu
0.250 0.456 0.099 Pt
0.750 0.544 0.901 Pt
0.250 0.158 0.200 Pt
0.750 0.842 0.800 Pt
0.250 0.636 0.695 Pt
0.750 0.364 0.305 Pt
0.250 0.251 0.504 Pt
0.750 0.749 0.496 Pt
0.250 0.860 0.311 Pt
0.750 0.140 0.689 Pt
0.250 0.052 0.898 Pt
0.750 0.948 0.102 Pt

---

# 2
Mn2IrSe, relaxed, DFT PBE; N(E_F) = 2.3 states/eV per cell; SG = Amm2, No. 38; DFT total energy = -30.4 eV per cell; raw formation energy = 0.069 eV/atom
1.0
-0.664 -2.047 3.008
1.413 -2.416 -1.332
5.324 0.348 1.412
Ir Mn Se
1 2 1
Direct
0.500 0.548 0.780 Ir
0.000 0.945 0.985 Mn
0.500 0.296 0.282 Mn
0.000 0.711 0.453 Se

---

# 3
DyAlB4, relaxed, DFT PBE; energy of formation from the pure elements = -0.49 eV per atom; N(E_F) = 3.7 states/eV per cell; SG = Pbam, No. 55; DFT total energy = -152.0 eV per cell
1.0
-1.519 1.884 2.620
-2.664 -4.937 2.006
9.080 -2.137 6.800
Dy Al B
4 4 16
Direct
0.000 0.629 0.350 Dy
0.000 0.371 0.650 Dy
0.000 0.129 0.150 Dy
0.000 0.871 0.850 Dy
0.000 0.638 0.090 Al
0.000 0.362 0.910 Al
0.000 0.138 0.410 Al
0.000 0.862 0.590 Al
0.500 0.789 0.187 B
0.500 0.211 0.813 B
0.500 0.289 0.313 B
0.500 0.711 0.687 B
0.500 0.866 0.031 B
0.500 0.134 0.969 B
0.500 0.366 0.469 B
0.500 0.634 0.531 B
0.500 0.886 0.453 B
0.500 0.114 0.547 B
0.500 0.386 0.047 B
0.500 0.614 0.953 B
0.500 0.973 0.308 B
0.500 0.027 0.692 B
0.500 0.473 0.192 B
0.500 0.527 0.808 B

---

# 4
TlIr2Cl, relaxed, DFT PBE; N(E_F) = 3.4 states/eV per cell; SG = Cmm2, No. 35; distance to the lowest polymorph of the same formula = 154 meV/atom; DFT total energy = -20.1 eV per cell; raw formation energy = 0.460 eV/atom
1.0
2.993 -0.003 0.000
-0.075 2.992 0.000
0.000 0.000 9.219
Tl Ir Cl
1 2 1
Direct
0.000 0.000 0.466 Tl
0.000 0.000 0.024 Ir
0.500 0.500 0.187 Ir
0.500 0.500 0.824 Cl